Entry 1:
Material: Ac2TiAl4Au3
Method: DFT, GGA-PBE
State: relaxed

Output
formation enthalpy at 0 K: -593 meV/atom
electronic total energy: -46.8 eV for the cell shown

Unit cell a=4.4450 b=4.4450 c=11.2509 alpha=90.00 beta=90.00 gamma=90.00
Sites, in units of the cell vectors:
Au  0.0000  0.0000  0.5000
Au  0.5000  0.0000  0.8735
Au  0.0000  0.5000  0.1265
Al  0.5000  0.5000  0.0000
Al  0.5000  0.0000  0.6365
Al  0.0000  0.0000  0.0000
Al  0.0000  0.5000  0.3635
Ac  0.0000  0.5000  0.7500
Ac  0.5000  0.0000  0.2500
Ti  0.5000  0.5000  0.5000



Entry 2:
Material: FeCoAg2
Method: DFT, GGA-PBE
State: relaxed

Output
formation enthalpy at 0 K: 459 meV/atom
electronic total energy: -19.4 eV for the cell shown

Unit cell a=4.6025 b=2.6756 c=4.9035 alpha=83.73 beta=90.00 gamma=90.00
Sites, in units of the cell vectors:
Ag  0.0000  0.0040  0.0012
Ag  0.0000  0.4960  0.4988
Fe  0.5000  0.7500  0.7500
Co  0.5000  0.2500  0.2500



Entry 3:
Material: TaCoPb3
Method: DFT, GGA-PBE
State: relaxed

Output
formation enthalpy at 0 K: 1194 meV/atom
electronic total energy: -24.1 eV for the cell shown

Unit cell a=5.4898 b=5.4898 c=5.4898 alpha=90.00 beta=90.00 gamma=90.00
Sites, in units of the cell vectors:
Pb  0.0000  0.0000  0.5000
Pb  0.5000  0.0000  0.0000
Pb  0.0000  0.5000  0.0000
Co  0.5000  0.5000  0.5000
Ta  0.0000  0.0000  0.0000



Entry 4:
Material: BaCo2Tc
Method: DFT, GGA-PBE
State: relaxed

Output
formation enthalpy at 0 K: 1030 meV/atom
electronic total energy: -22.4 eV for the cell shown

Unit cell a=5.3789 b=5.3789 c=5.3789 alpha=141.85 beta=115.44 gamma=77.53
Sites, in units of the cell vectors:
Co  0.5715  0.5715  0.0000
Co  0.9285  0.9285  0.0000
Tc  0.7500  0.2500  0.5000
Ba  0.2500  0.7500  0.5000



Entry 5:
Material: Sc2Zn2Cl
Method: DFT, GGA-PBE
State: relaxed

Output
ΔE_f (raw): -0.558 eV/atom
electronic total energy: -39.7 eV for the cell shown

Unit cell a=6.7983 b=6.7983 c=4.4394 alpha=90.00 beta=90.00 gamma=90.00
Sites, in units of the cell vectors:
Sc  0.1645  0.3355  0.0000
Sc  0.6645  0.1645  0.0000
Sc  0.8355  0.6645  0.0000
Sc  0.3355  0.8355  0.0000
Zn  0.8690  0.3690  0.5000
Zn  0.3690  0.1310  0.5000
Zn  0.6310  0.8690  0.5000
Zn  0.1310  0.6310  0.5000
Cl  0.5000  0.5000  0.0000
Cl  0.0000  0.0000  0.0000



Entry 6:
Material: Na3TlIn12
Method: DFT, GGA-PBE
State: relaxed

Output
formation enthalpy at 0 K: -56 meV/atom
electronic total energy: -40.1 eV for the cell shown

Unit cell a=4.7478 b=4.7478 c=18.8618 alpha=90.00 beta=90.00 gamma=90.00
Sites, in units of the cell vectors:
Tl  0.0000  0.0000  0.0000
In  0.0000  0.5000  0.3777
In  0.5000  0.5000  0.7437
In  0.5000  0.0000  0.6223
In  0.5000  0.5000  0.2563
In  0.0000  0.5000  0.8664
In  0.0000  0.5000  0.6223
In  0.5000  0.5000  0.0000
In  0.5000  0.5000  0.5000
In  0.5000  0.0000  0.8664
In  0.0000  0.5000  0.1336
In  0.5000  0.0000  0.3777
In  0.5000  0.0000  0.1336
Na  0.0000  0.0000  0.5000
Na  0.0000  0.0000  0.7435
Na  0.0000  0.0000  0.2565



Which formula does entry 3 have?
TaCoPb3



Which value of electronic total energy does entry 2 give?
-19.4 eV for the cell shown



Among the records above, which one has the lowest electronic total energy?
Ac2TiAl4Au3